{
  "formula": "SrFe2Cu",
  "functional": "GGA-PBE",
  "state": "relaxed",
  "lattice_angstrom": [[3.969, 0.000, 0.000], [0.000, 3.969, 0.000], [0.000, 0.000, 9.005]],
  "species": ["Sr", "Sr", "Fe", "Fe", "Fe", "Fe", "Cu", "Cu"],
  "fractional_positions": [[0.000, 0.000, 0.000], [0.500, 0.500, 0.500], [0.000, 0.500, 0.250], [0.000, 0.500, 0.750], [0.500, 0.000, 0.250], [0.500, 0.000, 0.750], [0.000, 0.000, 0.500], [0.500, 0.500, 0.000]],
  "spacegroup": "I4/mmm",
  "final_energy_ev_per_cell": -39.3,
  "magmom_total_mub_per_cell": 10.332
}

{
  "formula": "Sr2FeCu",
  "functional": "GGA-PBE",
  "state": "relaxed",
  "lattice_angstrom": [[3.535, 0.000, 0.000], [0.000, 3.535, 0.000], [0.000, 0.000, 8.822]],
  "species": ["Sr", "Sr", "Fe", "Cu"],
  "fractional_positions": [[0.000, 0.000, 0.000], [0.500, 0.500, 0.410], [0.500, 0.500, 0.747], [0.000, 0.000, 0.659]],
  "e_above_lowest_polymorph_mev_per_atom": 134,
  "spacegroup": "P4mm",
  "magmom_total_mub_per_cell": 2.941
}

{
  "formula": "SrFe2Cu",
  "functional": "GGA-PBE",
  "state": "relaxed",
  "lattice_angstrom": [[5.473, 0.000, 0.000], [0.000, 9.694, 0.000], [-1.293, 0.000, 2.581]],
  "species": ["Sr", "Sr", "Fe", "Fe", "Fe", "Fe", "Cu", "Cu"],
  "fractional_positions": [[0.000, 0.000, 0.000], [0.500, 0.500, 0.000], [0.250, 0.250, 0.500], [0.250, 0.750, 0.500], [0.750, 0.250, 0.500], [0.750, 0.750, 0.500], [0.000, 0.500, 0.000], [0.500, 0.000, 0.000]],
  "spacegroup": "C2/m",
  "final_energy_ev_per_cell": -38.8,
  "magmom_total_mub_per_cell": 9.658
}

{
  "formula": "SrFe2Cu",
  "functional": "GGA-PBE",
  "state": "relaxed",
  "lattice_angstrom": [[4.059, 0.000, 0.000], [-2.030, 3.515, 0.000], [0.000, 0.000, 16.298]],
  "species": ["Sr", "Sr", "Sr", "Fe", "Fe", "Fe", "Fe", "Fe", "Fe", "Cu", "Cu", "Cu"],
  "fractional_positions": [[0.000, 0.000, 0.000], [0.333, 0.667, 0.667], [0.667, 0.333, 0.333], [0.000, 0.000, 0.485], [0.000, 0.000, 0.810], [0.333, 0.667, 0.152], [0.333, 0.667, 0.477], [0.667, 0.333, 0.144], [0.667, 0.333, 0.818], [0.000, 0.000, 0.192], [0.333, 0.667, 0.859], [0.667, 0.333, 0.525]],
  "spacegroup": "R3m",
  "final_energy_ev_per_cell": -64.4,
  "magmom_total_mub_per_cell": 8.789
}

{
  "formula": "Sr2FeCu",
  "functional": "GGA-PBE",
  "state": "relaxed",
  "lattice_angstrom": [[4.462, 0.000, 0.000], [0.000, 4.462, 0.000], [0.000, 0.000, 10.863]],
  "species": ["Sr", "Sr", "Sr", "Sr", "Fe", "Fe", "Cu", "Cu"],
  "fractional_positions": [[0.000, 0.000, 0.000], [0.000, 0.500, 0.250], [0.500, 0.000, 0.750], [0.500, 0.500, 0.500], [0.000, 0.000, 0.500], [0.500, 0.500, 0.000], [0.000, 0.500, 0.750], [0.500, 0.000, 0.250]],
  "e_above_lowest_polymorph_mev_per_atom": 331,
  "spacegroup": "I-4m2",
  "magmom_total_mub_per_cell": 4.529
}

{
  "formula": "SrFeCu",
  "functional": "GGA-PBE",
  "state": "relaxed",
  "lattice_angstrom": [[6.644, 0.000, 0.000], [0.000, 6.644, 0.000], [0.000, 0.000, 6.644]],
  "species": ["Sr", "Sr", "Sr", "Sr", "Fe", "Fe", "Fe", "Fe", "Cu", "Cu", "Cu", "Cu"],
  "fractional_positions": [[0.000, 0.000, 0.000], [0.000, 0.500, 0.500], [0.500, 0.000, 0.500], [0.500, 0.500, 0.000], [0.000, 0.000, 0.500], [0.000, 0.500, 0.000], [0.500, 0.000, 0.000], [0.500, 0.500, 0.500], [0.250, 0.250, 0.250], [0.250, 0.750, 0.750], [0.750, 0.250, 0.750], [0.750, 0.750, 0.250]],
  "e_above_lowest_polymorph_mev_per_atom": 364,
  "spacegroup": "F-43m",
  "magmom_total_mub_per_cell": 11.003
}

{
  "formula": "SrFe3Cu",
  "functional": "GGA-PBE",
  "state": "relaxed",
  "lattice_angstrom": [[4.624, 0.000, 0.000], [0.000, 4.624, 0.000], [0.000, 0.000, 4.624]],
  "species": ["Sr", "Fe", "Fe", "Fe", "Cu"],
  "fractional_positions": [[0.000, 0.000, 0.000], [0.000, 0.500, 0.500], [0.500, 0.000, 0.500], [0.500, 0.500, 0.000], [0.500, 0.500, 0.500]],
  "e_above_lowest_polymorph_mev_per_atom": 0,
  "spacegroup": "Pm-3m",
  "magmom_total_mub_per_cell": 8.740
}

{
  "formula": "SrFe2Cu",
  "functional": "GGA-PBE",
  "state": "relaxed",
  "lattice_angstrom": [[3.317, 0.000, 0.000], [0.000, 4.472, 0.000], [0.000, 0.000, 4.770]],
  "species": ["Sr", "Fe", "Fe", "Cu"],
  "fractional_positions": [[0.000, 0.000, 0.000], [0.000, 0.500, 0.500], [0.500, 0.000, 0.500], [0.500, 0.500, 0.000]],
  "spacegroup": "Pmmm",
  "final_energy_ev_per_cell": -19.6,
  "magmom_total_mub_per_cell": 5.062
}

{
  "formula": "Sr2FeCu",
  "functional": "GGA-PBE",
  "state": "relaxed",
  "lattice_angstrom": [[4.339, 0.000, 0.000], [0.000, 4.601, 0.000], [0.000, 0.000, 11.470]],
  "species": ["Sr", "Sr", "Sr", "Sr", "Fe", "Fe", "Cu", "Cu"],
  "fractional_positions": [[0.000, 0.000, 0.000], [0.000, 0.500, 0.500], [0.500, 0.000, 0.285], [0.500, 0.500, 0.785], [0.500, 0.000, 0.597], [0.500, 0.500, 0.097], [0.000, 0.000, 0.691], [0.000, 0.500, 0.191]],
  "e_above_lowest_polymorph_mev_per_atom": 0,
  "spacegroup": "Amm2",
  "magmom_total_mub_per_cell": 4.525
}

{
  "formula": "SrFeCu3",
  "functional": "GGA-PBE",
  "state": "relaxed",
  "lattice_angstrom": [[4.638, 0.000, 0.000], [0.000, 4.638, 0.000], [0.000, 0.000, 4.638]],
  "species": ["Sr", "Fe", "Cu", "Cu", "Cu"],
  "fractional_positions": [[0.000, 0.000, 0.000], [0.500, 0.500, 0.500], [0.000, 0.500, 0.500], [0.500, 0.000, 0.500], [0.500, 0.500, 0.000]],
  "e_above_lowest_polymorph_mev_per_atom": 0,
  "spacegroup": "Pm-3m",
  "magmom_total_mub_per_cell": 2.621
}

{
  "formula": "SrFeCu",
  "functional": "GGA-PBE",
  "state": "relaxed",
  "lattice_angstrom": [[6.981, 0.000, 0.000], [0.000, 6.981, 0.000], [0.000, 0.000, 6.981]],
  "species": ["Sr", "Sr", "Sr", "Sr", "Fe", "Fe", "Fe", "Fe", "Cu", "Cu", "Cu", "Cu"],
  "fractional_positions": [[0.000, 0.000, 0.000], [0.000, 0.500, 0.500], [0.500, 0.000, 0.500], [0.500, 0.500, 0.000], [0.250, 0.250, 0.250], [0.250, 0.750, 0.750], [0.750, 0.250, 0.750], [0.750, 0.750, 0.250], [0.250, 0.250, 0.750], [0.250, 0.750, 0.250], [0.750, 0.250, 0.250], [0.750, 0.750, 0.750]],
  "e_above_lowest_polymorph_mev_per_atom": 882,
  "spacegroup": "F-43m",
  "magmom_total_mub_per_cell": 12.875
}

{
  "formula": "Sr2FeCu",
  "functional": "GGA-PBE",
  "state": "relaxed",
  "lattice_angstrom": [[8.241, 0.000, 0.000], [0.000, 8.241, 0.000], [0.000, 0.000, 6.906]],
  "species": ["Sr", "Sr", "Sr", "Sr", "Sr", "Sr", "Sr", "Sr", "Fe", "Fe", "Fe", "Fe", "Cu", "Cu", "Cu", "Cu"],
  "fractional_positions": [[0.237, 0.250, 0.125], [0.250, 0.737, 0.375], [0.250, 0.763, 0.875], [0.263, 0.250, 0.625], [0.737, 0.750, 0.625], [0.750, 0.237, 0.875], [0.750, 0.263, 0.375], [0.763, 0.750, 0.125], [0.000, 0.000, 0.500], [0.000, 0.500, 0.750], [0.500, 0.000, 0.250], [0.500, 0.500, 0.000], [0.000, 0.000, 0.000], [0.000, 0.500, 0.250], [0.500, 0.000, 0.750], [0.500, 0.500, 0.500]],
  "e_above_lowest_polymorph_mev_per_atom": 448,
  "spacegroup": "I-42d",
  "magmom_total_mub_per_cell": 8.739
}

What did the first record say?
{
  "formula": "SrFe2Cu",
  "functional": "GGA-PBE",
  "state": "relaxed",
  "lattice_angstrom": [[3.969, 0.000, 0.000], [0.000, 3.969, 0.000], [0.000, 0.000, 9.005]],
  "species": ["Sr", "Sr", "Fe", "Fe", "Fe", "Fe", "Cu", "Cu"],
  "fractional_positions": [[0.000, 0.000, 0.000], [0.500, 0.500, 0.500], [0.000, 0.500, 0.250], [0.000, 0.500, 0.750], [0.500, 0.000, 0.250], [0.500, 0.000, 0.750], [0.000, 0.000, 0.500], [0.500, 0.500, 0.000]],
  "spacegroup": "I4/mmm",
  "final_energy_ev_per_cell": -39.3,
  "magmom_total_mub_per_cell": 10.332
}